# CoTc2Ge

A geometry-optimized CoTc2Ge structure (GGA-PBE, OQMD).

Values from the calculation:
Crystal system: cubic
Total magnetization (μB/cell): 2.37
E_tot (eV per cell): -32.12

POSCAR file:
```
CoTc2Ge
1.0
0.0000 3.0046 3.0046
3.0046 0.0000 3.0046
3.0046 3.0046 0.0000
Co Ge Tc
1 1 2
direct
0.2500 0.2500 0.2500 Co
0.5000 0.5000 0.5000 Ge
0.0000 0.0000 0.0000 Tc
0.7500 0.7500 0.7500 Tc
```